(1)
Entry from OQMD via LeMat-Bulk: a geometry-optimized Li4YTaO6 structure (PBE).

Output
The crystal system is monoclinic. As for the calculated density: 5.216 g/cm3. The total magnetization comes out at 0.0 μB per formula unit. The calculation puts the final energy at -7.233 eV/atom.

Unit cell a=5.4377 b=5.4377 c=5.2177 alpha=99.96 beta=99.96 gamma=120.03
Fractional positions:
Li1 0.0000 0.0000 0.0000
Li2 0.3741 0.6259 0.0000
Li3 0.6925 0.3075 0.0000
Li4 0.8546 0.1454 0.5000
Y1 0.1877 0.8123 0.5000
Ta1 0.5218 0.4782 0.5000
O1 0.1371 0.4006 0.2593
O2 0.2895 0.2540 0.7305
O3 0.4438 0.1016 0.2617
O4 0.5994 0.8629 0.7407
O5 0.7460 0.7105 0.2695
O6 0.8984 0.5562 0.7383

***

(2)
Entry from OQMD via LeMat-Bulk: a geometry-optimized Li3Zr2Ta3O12 structure (PBE).

Output
The crystal system is cubic. As for the calculated density: 7.540 g/cm3. The total magnetization comes out at 0.5 μB per formula unit. The calculation puts the final energy at -8.372 eV/atom.

Unit cell a=10.2395 b=10.2395 c=10.2395 alpha=109.47 beta=109.47 gamma=109.47
Fractional positions:
Li1 0.1250 0.7500 0.8750
Li2 0.1250 0.8750 0.2500
Li3 0.2500 0.1250 0.8750
Li4 0.2500 0.6250 0.3750
Li5 0.3750 0.2500 0.6250
Li6 0.3750 0.6250 0.7500
Li7 0.6250 0.3750 0.2500
Li8 0.6250 0.7500 0.3750
Li9 0.7500 0.3750 0.6250
Li10 0.7500 0.8750 0.1250
Li11 0.8750 0.1250 0.7500
Li12 0.8750 0.2500 0.1250
Zr1 0.0000 0.0000 0.0000
Zr2 0.0000 0.0000 0.5000
Zr3 0.0000 0.5000 0.0000
Zr4 0.0000 0.5000 0.5000
Zr5 0.5000 0.0000 0.0000
Zr6 0.5000 0.0000 0.5000
Zr7 0.5000 0.5000 0.0000
Zr8 0.5000 0.5000 0.5000
Ta1 0.1250 0.2500 0.3750
Ta2 0.1250 0.3750 0.7500
Ta3 0.2500 0.3750 0.1250
Ta4 0.2500 0.8750 0.6250
Ta5 0.3750 0.1250 0.2500
Ta6 0.3750 0.7500 0.1250
Ta7 0.6250 0.2500 0.8750
Ta8 0.6250 0.8750 0.7500
Ta9 0.7500 0.1250 0.3750
Ta10 0.7500 0.6250 0.8750
Ta11 0.8750 0.6250 0.2500
Ta12 0.8750 0.7500 0.6250
O1 0.0482 0.2317 0.1354
O2 0.0482 0.3165 0.9128
O3 0.0872 0.6354 0.4037
O4 0.0872 0.9518 0.6835
O5 0.0963 0.7317 0.6835
O6 0.0963 0.8646 0.4128
O7 0.1354 0.0482 0.2317
O8 0.1354 0.5872 0.9037
O9 0.1835 0.2317 0.5963
O10 0.1835 0.4518 0.5872
O11 0.2317 0.1354 0.0482
O12 0.2317 0.5963 0.1835
O13 0.2683 0.3165 0.9037
O14 0.2683 0.4518 0.3646
O15 0.3165 0.9037 0.2683
O16 0.3165 0.9128 0.0482
O17 0.3646 0.2683 0.4518
O18 0.3646 0.5963 0.9128
O19 0.4037 0.0872 0.6354
O20 0.4037 0.8165 0.7683
O21 0.4128 0.0963 0.8646
O22 0.4128 0.8165 0.5482
O23 0.4518 0.3646 0.2683
O24 0.4518 0.5872 0.1835
O25 0.5482 0.4128 0.8165
O26 0.5482 0.6354 0.7317
O27 0.5872 0.1835 0.4518
O28 0.5872 0.9037 0.1354
O29 0.5963 0.1835 0.2317
O30 0.5963 0.9128 0.3646
O31 0.6354 0.4037 0.0872
O32 0.6354 0.7317 0.5482
O33 0.6835 0.0872 0.9518
O34 0.6835 0.0963 0.7317
O35 0.7317 0.5482 0.6354
O36 0.7317 0.6835 0.0963
O37 0.7683 0.4037 0.8165
O38 0.7683 0.8646 0.9518
O39 0.8165 0.5482 0.4128
O40 0.8165 0.7683 0.4037
O41 0.8646 0.4128 0.0963
O42 0.8646 0.9518 0.7683
O43 0.9037 0.1354 0.5872
O44 0.9037 0.2683 0.3165
O45 0.9128 0.0482 0.3165
O46 0.9128 0.3646 0.5963
O47 0.9518 0.6835 0.0872
O48 0.9518 0.7683 0.8646

***

Q: calculated density of number 1 (Li4YTaO6)?
A: 5.216 g/cm3

***

Q: Which of these has the lowest final energy?
A: Li3Zr2Ta3O12

***

Q: What is the formula in the first record?
A: Li4YTaO6